Ba2CeNdS6 | PBE | relaxed

```
Ba2CeNdS6
1.0
7.327 0.000 -0.049
0.000 7.709 0.000
-0.004 0.000 10.540
S Ba Ce Nd
12 4 2 2
direct
0.295 0.699 0.448
0.898 0.532 0.255
0.196 0.210 0.445
0.696 0.290 0.945
0.398 0.968 0.755
0.804 0.790 0.555
0.304 0.710 0.055
0.602 0.032 0.245
0.705 0.301 0.552
0.205 0.199 0.052
0.795 0.801 0.948
0.102 0.468 0.745
0.476 0.432 0.251
0.524 0.568 0.749
0.024 0.932 0.249
0.976 0.068 0.751
0.500 0.000 0.000
0.000 0.500 0.500
0.000 0.500 0.000
0.500 0.000 0.500
```

Calculated values
* SG: P2_1/c, No. 14
* raw formation energy: -1.794 eV/atom
* N(E_F): 29.8 states/eV/cell
* magnetic moment: 0.0002 μB/atom
* total energy: -5.72 eV per atom

=====

Ba3CeNd3Se8 | PBE | relaxed

```
Ba3CeNd3Se8
1.0
8.684 0.000 0.000
-4.342 7.521 -0.027
0.000 -4.986 7.578
Se Ba Nd Ce
8 3 3 1
direct
0.760 0.021 0.282
0.739 0.979 0.718
0.261 0.021 0.282
0.741 0.482 0.723
0.259 0.518 0.277
0.240 0.479 0.719
0.760 0.521 0.281
0.240 0.979 0.718
0.500 0.500 0.000
0.000 0.500 0.000
0.000 0.000 0.000
0.500 0.500 0.500
0.000 0.500 0.500
0.500 0.000 0.500
0.000 0.000 0.500
```

Calculated values
* SG: R-3m, No. 166
* raw formation energy: -1.918 eV/atom
* N(E_F): 9.6 states/eV/cell
* magnetic moment: 0.0683 μB/atom
* total energy: -5.51 eV per atom

=====

BaCe2NdSe4 | PBE | relaxed

```
BaCe2NdSe4
1.0
4.294 0.000 0.000
0.000 7.546 -0.189
0.000 2.619 7.038
Nd Ce Ba Se
1 2 1 4
direct
0.000 0.500 0.500
0.000 0.000 0.000
0.500 0.000 0.500
0.500 0.500 0.000
0.500 0.241 0.742
0.000 0.232 0.268
0.000 0.768 0.732
0.500 0.759 0.258
```

Calculated values
* SG: P2/m, No. 10
* raw formation energy: -1.815 eV/atom
* N(E_F): 14.9 states/eV/cell
* magnetic moment: 0.2909 μB/atom
* total energy: -5.88 eV per atom

=====

BaCe3Nd2Te6 | PBE | relaxed

```
BaCe3Nd2Te6
1.0
-2.437 1.660 -3.446
-6.295 -6.637 1.255
-1.936 6.648 7.558
Te Ce Nd Ba
6 3 2 1
direct
0.327 0.912 0.654
0.003 0.267 0.007
0.997 0.733 0.993
0.665 0.584 0.330
0.673 0.088 0.346
0.335 0.416 0.670
0.836 0.171 0.672
0.164 0.829 0.328
0.500 0.500 0.000
0.171 0.341 0.342
0.829 0.659 0.658
0.500 0.000 0.000
```

Calculated values
* SG: C2/m, No. 12
* raw formation energy: -1.421 eV/atom
* N(E_F): 24.2 states/eV/cell
* magnetic moment: 0.3106 μB/atom
* total energy: -5.43 eV per atom

=====

Ba2CeNi9 | PBE | relaxed

```
Ba2CeNi9
1.0
5.089 0.000 0.000
2.545 4.407 0.000
2.545 1.469 8.680
Ni Ba Ce
9 2 1
direct
0.922 0.427 0.223
0.573 0.573 0.777
0.427 0.922 0.223
0.427 0.427 0.223
0.573 0.078 0.777
0.668 0.668 0.997
0.332 0.332 0.003
0.078 0.573 0.777
0.500 0.500 0.500
0.138 0.138 0.585
0.862 0.862 0.415
0.000 0.000 0.000
```

Calculated values
* energy of formation: -42 meV per atom
* SG: R-3m, No. 166
* N(E_F): 10.6 states/eV/cell
* magnetic moment: 0.0989 μB/atom
* total energy: -5.19 eV per atom

=====

What did the first record say?
Ba2CeNdS6 | PBE | relaxed

```
Ba2CeNdS6
1.0
7.327 0.000 -0.049
0.000 7.709 0.000
-0.004 0.000 10.540
S Ba Ce Nd
12 4 2 2
direct
0.295 0.699 0.448
0.898 0.532 0.255
0.196 0.210 0.445
0.696 0.290 0.945
0.398 0.968 0.755
0.804 0.790 0.555
0.304 0.710 0.055
0.602 0.032 0.245
0.705 0.301 0.552
0.205 0.199 0.052
0.795 0.801 0.948
0.102 0.468 0.745
0.476 0.432 0.251
0.524 0.568 0.749
0.024 0.932 0.249
0.976 0.068 0.751
0.500 0.000 0.000
0.000 0.500 0.500
0.000 0.500 0.000
0.500 0.000 0.500
```

Calculated values
* SG: P2_1/c, No. 14
* raw formation energy: -1.794 eV/atom
* N(E_F): 29.8 states/eV/cell
* magnetic moment: 0.0002 μB/atom
* total energy: -5.72 eV per atom